## ScBeZnCo (PBE)

Data for ScBeZnCo after structural relaxation.

POSCAR file:
```
ScBeZnCo
1.0
0.0000 2.9837 2.9837
2.9837 0.0000 2.9837
2.9837 2.9837 0.0000
Sc Be Zn Co
1 1 1 1
direct
0.0000 0.0000 0.0000 Sc
0.2500 0.2500 0.2500 Be
0.5000 0.5000 0.5000 Zn
0.7500 0.7500 0.7500 Co
```

Summary:
Distance to the lowest polymorph of the same formula   0.000 eV per atom
Volume   13.281 A^3/atom
Raw total energy   -18.8 eV per cell

***

## BeCoSi2 (PBE)

Data for BeCoSi2 after structural relaxation.

POSCAR file:
```
BeCoSi2
1.0
0.0000 2.8003 2.8003
2.8003 0.0000 2.8003
2.8003 2.8003 0.0000
Be Co Si
1 1 2
direct
0.0000 0.0000 0.0000 Be
0.2500 0.2500 0.2500 Co
0.5000 0.5000 0.5000 Si
0.7500 0.7500 0.7500 Si
```

Summary:
Volume   10.979 A^3/atom
Raw total energy   -20.9 eV per cell

***

## BeCoSi (PBE)

Data for BeCoSi after structural relaxation.

POSCAR file:
```
BeCoSi
1.0
0.0000 2.5989 2.5989
2.5989 0.0000 2.5989
2.5989 2.5989 0.0000
Be Co Si
1 1 1
direct
0.0000 0.0000 0.0000 Be
0.2500 0.2500 0.2500 Co
0.5000 0.5000 0.5000 Si
```

Summary:
Distance to the lowest polymorph of the same formula   0.000 eV per atom
Volume   11.702 A^3/atom
Raw total energy   -16.8 eV per cell

***

## BeCoSi (PBE)

Data for BeCoSi after structural relaxation.

POSCAR file:
```
BeCoSi
1.0
0.0000 2.5460 2.5460
2.5460 0.0000 2.5460
2.5460 2.5460 0.0000
Be Co Si
1 1 1
direct
0.0000 0.0000 0.0000 Be
0.7500 0.7500 0.7500 Co
0.2500 0.2500 0.2500 Si
```

Summary:
Distance to the lowest polymorph of the same formula   0.105 eV per atom
Volume   11.002 A^3/atom
Raw total energy   -16.5 eV per cell

***

## TaBeCoSi (PBE)

Data for TaBeCoSi after structural relaxation.

POSCAR file:
```
TaBeCoSi
1.0
0.0000 2.9031 2.9031
2.9031 0.0000 2.9031
2.9031 2.9031 0.0000
Ta Be Co Si
1 1 1 1
direct
0.0000 0.0000 0.0000 Ta
0.2500 0.2500 0.2500 Be
0.7500 0.7500 0.7500 Co
0.5000 0.5000 0.5000 Si
```

Summary:
Distance to the lowest polymorph of the same formula   0.000 eV per atom
Volume   12.233 A^3/atom
Raw total energy   -28.3 eV per cell

***

## TaBeCoSi (PBE)

Data for TaBeCoSi after structural relaxation.

POSCAR file:
```
TaBeCoSi
1.0
0.0000 2.9102 2.9102
2.9102 0.0000 2.9102
2.9102 2.9102 0.0000
Ta Be Co Si
1 1 1 1
direct
0.0000 0.0000 0.0000 Ta
0.7500 0.7500 0.7500 Be
0.5000 0.5000 0.5000 Co
0.2500 0.2500 0.2500 Si
```

Summary:
Distance to the lowest polymorph of the same formula   0.029 eV per atom
Volume   12.324 A^3/atom
Raw total energy   -28.2 eV per cell